Entry from Alexandria via LeMat-Bulk: a relaxed structure of Mo2PbO6 (PBE with a Hubbard U).

Structure (extended XYZ):
```
9
Lattice="-0.907 4.974 1.827 -1.337 1.579 -4.962 -3.772 -1.908 3.322" Properties=species:S:1:pos:R:3 pbc="T T T"
Mo -3.414 1.741 1.474
O -2.205 1.352 -0.079
O -1.144 4.096 -0.596
Mo -2.602 2.903 -1.288
O -3.811 3.293 0.266
O -4.872 0.549 0.782
O -3.949 1.870 -2.357
O -2.067 2.775 2.543
Pb 0.000 0.000 0.000
```

* uncorrected energy: -6.812 eV/atom
* total magnetic moment: 2.0 μB/f.u.
* excess energy over the best structure of this formula in the dataset: 0.0083 eV/atom